{
  "formula": "NiOs3",
  "functional": "PBE",
  "state": "relaxed",
  "lattice": [[-1.8150, -0.1755, 4.1132], [4.0720, -0.7383, 1.7654], [0.3713, 2.7167, 0.2797]],
  "species": ["Os", "Os", "Os", "Ni"],
  "fractional_positions": [[0.5000, 0.0000, 0.5000], [0.0000, 0.5000, 0.5000], [0.5000, 0.5000, 0.0000], [0.0000, 0.0000, 0.0000]],
  "total_energy_ev_per_cell": -37.29,
  "space_group": "P4/mmm, No. 123"
}